## TaTl2Mo (GGA-PBEsol)

Data for a relaxed TaTl2Mo crystal.

Cell and atoms, written as POSCAR:
```
TaTl2Mo
1.0
2.9475 -4.7812 0.0000
2.9475 4.7812 0.0000
-1.1699 0.0000 2.7424
Ta Tl Mo
1 2 1
Direct
0.0000 0.0000 0.0000
0.0000 0.5000 0.5000
0.5000 0.0000 0.5000
0.5000 0.5000 0.0000
```

- Polymorph energy (0 for the lowest one): 0 meV/atom
- DOS at the Fermi energy: 2.239 states/eV per cell
- Energy relative to the elements: 0.673 eV per atom

## Pm2CuAu (GGA-PBEsol)

Data for a relaxed Pm2CuAu crystal.

Cell and atoms, written as POSCAR:
```
Pm2CuAu
1.0
0.0000 3.5712 3.5712
3.5712 0.0000 3.5712
3.5712 3.5712 0.0000
Pm Cu Au
2 1 1
Direct
0.2500 0.2500 0.2500
0.7500 0.7500 0.7500
0.0000 0.0000 0.0000
0.5000 0.5000 0.5000
```

- DOS at the Fermi energy: 2.849 states/eV per cell
- Energy relative to the elements: -0.443 eV per atom

## TcAg3Ge (GGA-PBEsol)

Data for a relaxed TcAg3Ge crystal.

Cell and atoms, written as POSCAR:
```
TcAg3Ge
1.0
4.9193 0.0000 0.0000
0.0000 4.9193 0.0000
0.0000 0.0000 4.9193
Tc Ag Ge
1 3 1
Direct
0.0000 0.0000 0.0000
0.0000 0.0000 0.5000
0.0000 0.5000 0.0000
0.5000 0.0000 0.0000
0.5000 0.5000 0.5000
```

- DOS at the Fermi energy: 4.461 states/eV per cell
- Energy relative to the elements: 1.653 eV per atom

## RhCS2Cl (GGA-PBEsol)

Data for a relaxed RhCS2Cl crystal.

Cell and atoms, written as POSCAR:
```
RhCS2Cl
1.0
4.1099 0.0000 0.0000
0.0000 4.1099 0.0000
0.0000 0.0000 3.9256
Rh C S Cl
1 1 2 1
Direct
0.0000 0.0000 0.0000
0.5000 0.5000 0.5000
0.0000 0.5000 0.5000
0.5000 0.0000 0.5000
0.5000 0.5000 0.0000
```

- DOS at the Fermi energy: 4.772 states/eV per cell
- Uncorrected formation energy: 1.273 eV/atom

## NiPtAu2 (GGA-PBEsol)

Data for a relaxed NiPtAu2 crystal.

Cell and atoms, written as POSCAR:
```
NiPtAu2
1.0
2.7829 0.0000 0.0000
0.0000 2.7829 0.0000
0.0000 0.0000 7.6724
Ni Pt Au
1 1 2
Direct
0.0000 0.0000 0.0000
0.5000 0.5000 0.2132
0.0000 0.0000 0.4845
0.5000 0.5000 0.7665
```

- Polymorph energy (0 for the lowest one): 0 meV/atom
- DOS at the Fermi energy: 4.459 states/eV per cell
- Energy relative to the elements: 0.018 eV per atom

## BeTl2Pt (GGA-PBEsol)

Data for a relaxed BeTl2Pt crystal.

Cell and atoms, written as POSCAR:
```
BeTl2Pt
1.0
3.5862 0.0000 0.0000
0.0000 3.5862 0.0000
0.0000 0.0000 5.7271
Be Tl Pt
1 2 1
Direct
0.0000 0.0000 0.0000
0.5000 0.5000 0.2474
0.5000 0.5000 0.7526
0.0000 0.0000 0.5000
```

- Polymorph energy (0 for the lowest one): 319 meV/atom
- DOS at the Fermi energy: 1.806 states/eV per cell
- Energy relative to the elements: 0.416 eV per atom

## Re2PCl (GGA-PBEsol)

Data for a relaxed Re2PCl crystal.

Cell and atoms, written as POSCAR:
```
Re2PCl
1.0
2.9453 0.0000 0.0000
0.0000 3.4945 0.0000
-1.0817 0.0000 6.3358
Re P Cl
2 1 1
Direct
0.1065 0.0000 0.3235
0.8935 0.0000 0.6765
0.5000 0.5000 0.5000
0.0000 0.5000 0.0000
```

- Polymorph energy (0 for the lowest one): 66 meV/atom
- DOS at the Fermi energy: 1.003 states/eV per cell
- Uncorrected formation energy: 0.512 eV/atom

## CrTeOs2 (GGA-PBEsol)

Data for a relaxed CrTeOs2 crystal.

Cell and atoms, written as POSCAR:
```
CrTeOs2
1.0
1.4547 -2.4091 0.0000
1.4547 2.4091 0.0000
0.0000 0.0000 9.1364
Cr Te Os
1 1 2
Direct
0.0000 0.0000 0.0000
0.0000 0.0000 0.5000
0.5000 0.5000 0.2132
0.5000 0.5000 0.7868
```

- DOS at the Fermi energy: 4.717 states/eV per cell
- Uncorrected formation energy: 0.905 eV/atom

## CsNd2CuSe4 (GGA-PBEsol)

Data for a relaxed CsNd2CuSe4 crystal.

Cell and atoms, written as POSCAR:
```
CsNd2CuSe4
1.0
2.0958 -7.3773 0.0000
2.0958 7.3773 0.0000
0.0000 0.0000 14.4790
Cs Nd Cu Se
2 4 2 8
Direct
0.1057 0.8943 0.7500
0.8943 0.1057 0.2500
0.3655 0.6345 0.5611
0.3655 0.6345 0.9389
0.6345 0.3655 0.0611
0.6345 0.3655 0.4389
0.1642 0.8358 0.2500
0.8358 0.1642 0.7500
0.0000 0.0000 0.0000
0.0000 0.0000 0.5000
0.2603 0.7397 0.1124
0.2603 0.7397 0.3876
0.4236 0.5764 0.7500
0.5764 0.4236 0.2500
0.7397 0.2603 0.6124
0.7397 0.2603 0.8876
```

- Uncorrected formation energy: -1.499 eV/atom

## Mg2ScTl (GGA-PBEsol)

Data for a relaxed Mg2ScTl crystal.

Cell and atoms, written as POSCAR:
```
Mg2ScTl
1.0
4.3394 0.0000 0.0000
0.0000 4.3394 0.0000
0.0000 0.0000 4.6041
Mg Sc Tl
2 1 1
Direct
0.0000 0.5000 0.0000
0.5000 0.0000 0.0000
0.0000 0.0000 0.5000
0.5000 0.5000 0.5000
```

- Polymorph energy (0 for the lowest one): 0 meV/atom
- DOS at the Fermi energy: 2.504 states/eV per cell
- Energy relative to the elements: -0.231 eV per atom

## LiCdPb2 (GGA-PBEsol)

Data for a relaxed LiCdPb2 crystal.

Cell and atoms, written as POSCAR:
```
LiCdPb2
1.0
-1.9024 2.4962 5.1579
1.9024 -2.4962 5.1579
1.9024 2.4962 -5.1579
Li Cd Pb
1 1 2
Direct
0.0000 0.0000 0.0000
0.2211 0.7211 0.5000
0.4847 0.4847 0.0000
0.7554 0.2554 0.5000
```

- DOS at the Fermi energy: 1.728 states/eV per cell
- Energy relative to the elements: -0.094 eV per atom

## YTa2Cu (GGA-PBEsol)

Data for a relaxed YTa2Cu crystal.

Cell and atoms, written as POSCAR:
```
YTa2Cu
1.0
3.9789 0.0000 0.0000
0.0000 3.9789 0.0000
0.0000 0.0000 4.6556
Y Ta Cu
1 2 1
Direct
0.0000 0.0000 0.0000
0.0000 0.5000 0.5000
0.5000 0.0000 0.5000
0.5000 0.5000 0.0000
```

- Polymorph energy (0 for the lowest one): 164 meV/atom
- DOS at the Fermi energy: 4.709 states/eV per cell
- Energy relative to the elements: 0.391 eV per atom

## Mg2AlPd2 (GGA-PBEsol)

Data for a relaxed Mg2AlPd2 crystal.

Cell and atoms, written as POSCAR:
```
Mg2AlPd2
1.0
6.4601 0.0000 0.0000
0.0000 6.4601 0.0000
0.0000 0.0000 4.0819
Mg Al Pd
4 2 4
Direct
0.1613 0.3387 0.0000
0.3387 0.8387 0.0000
0.6613 0.1613 0.0000
0.8387 0.6613 0.0000
0.0000 0.0000 0.5000
0.5000 0.5000 0.5000
0.1479 0.6479 0.5000
0.3521 0.1479 0.5000
0.6479 0.8521 0.5000
0.8521 0.3521 0.5000
```

- DOS at the Fermi energy: 3.159 states/eV per cell
- Energy relative to the elements: -0.604 eV per atom

## La2Cd3 (GGA-PBEsol)

Data for a relaxed La2Cd3 crystal.

Cell and atoms, written as POSCAR:
```
La2Cd3
1.0
1.7854 1.0308 12.6293
-1.7854 1.0308 12.6293
0.0000 -2.0616 12.6293
La Cd
2 3
Direct
0.0975 0.0975 0.0975
0.9025 0.9025 0.9025
0.3052 0.3052 0.3052
0.5000 0.5000 0.5000
0.6948 0.6948 0.6948
```

- Polymorph energy (0 for the lowest one): 205 meV/atom
- DOS at the Fermi energy: 3.745 states/eV per cell
- Energy relative to the elements: -0.073 eV per atom

## Ag2TeP (GGA-PBEsol)

Data for a relaxed Ag2TeP crystal.

Cell and atoms, written as POSCAR:
```
Ag2TeP
1.0
0.0000 3.3756 3.3756
3.3756 0.0000 3.3756
3.3756 3.3756 0.0000
Ag Te P
2 1 1
Direct
0.0000 0.0000 0.0000
0.2500 0.2500 0.2500
0.5000 0.5000 0.5000
0.7500 0.7500 0.7500
```

- Polymorph energy (0 for the lowest one): 145 meV/atom
- DOS at the Fermi energy: 2.271 states/eV per cell
- Uncorrected formation energy: 0.468 eV/atom

## TbIn2Pd (GGA-PBEsol)

Data for a relaxed TbIn2Pd crystal.

Cell and atoms, written as POSCAR:
```
TbIn2Pd
1.0
-6.8255 6.8255 4.5275
6.8255 -6.8255 4.5275
6.8255 6.8255 -4.5275
Tb In Pd
10 20 10
Direct
0.0000 0.0000 0.0000
0.0862 0.0862 0.4042
0.0862 0.6820 0.0000
0.1179 0.3981 0.7198
0.3981 0.1179 0.7198
0.3981 0.6783 0.2802
0.4720 0.4720 0.0000
0.6783 0.3981 0.2802
0.6820 0.0862 0.0000
0.6820 0.6820 0.5958
0.1020 0.1020 0.7383
0.1020 0.3637 0.0000
0.2551 0.8726 0.3825
0.2771 0.4850 0.4924
0.2771 0.7847 0.7921
0.3637 0.1020 0.0000
0.3637 0.3637 0.2617
0.4850 0.2771 0.4924
0.4850 0.9926 0.2079
0.4901 0.8726 0.6175
0.5646 0.7278 0.8368
0.7278 0.5646 0.8368
0.7278 0.8910 0.1632
0.7847 0.2771 0.7921
0.7847 0.9926 0.5076
0.8726 0.2551 0.3825
0.8726 0.4901 0.6175
0.8910 0.7278 0.1632
0.9926 0.4850 0.2079
0.9926 0.7847 0.5076
0.0355 0.2503 0.2148
0.0355 0.8207 0.7852
0.1235 0.6235 0.5000
0.2503 0.0355 0.2148
0.3807 0.3807 0.6786
0.3807 0.7021 0.0000
0.6235 0.1235 0.5000
0.7021 0.3807 0.0000
0.7021 0.7021 0.3214
0.8207 0.0355 0.7852
```

- DOS at the Fermi energy: 17.458 states/eV per cell
- Energy relative to the elements: -0.716 eV per atom

## NbRu (GGA-PBEsol)

Data for a relaxed NbRu crystal.

Cell and atoms, written as POSCAR:
```
NbRu
1.0
3.1462 0.0000 0.0000
0.0000 3.1462 0.0000
0.0000 0.0000 3.1462
Nb Ru
1 1
Direct
0.0000 0.0000 0.0000
0.5000 0.5000 0.5000
```

- DOS at the Fermi energy: 3.072 states/eV per cell
- Energy relative to the elements: -0.110 eV per atom

## ScSbOs4 (GGA-PBEsol)

Data for a relaxed ScSbOs4 crystal.

Cell and atoms, written as POSCAR:
```
ScSbOs4
1.0
0.0000 3.6862 3.6862
3.6862 0.0000 3.6862
3.6862 3.6862 0.0000
Sc Sb Os
1 1 4
Direct
0.0000 0.0000 0.0000
0.7500 0.7500 0.7500
0.3750 0.3750 0.3750
0.3750 0.3750 0.8749
0.3750 0.8749 0.3750
0.8749 0.3750 0.3750
```

- DOS at the Fermi energy: 7.220 states/eV per cell
- Uncorrected formation energy: 0.281 eV/atom

## SmFe5 (GGA-PBEsol)

Data for a relaxed SmFe5 crystal.

Cell and atoms, written as POSCAR:
```
SmFe5
1.0
4.9318 0.0000 0.0000
-2.4659 4.2711 0.0000
0.0000 0.0000 3.8892
Sm Fe
1 5
Direct
0.0000 0.0000 0.0000
0.0000 0.5000 0.5000
0.3333 0.6667 0.0000
0.5000 0.0000 0.5000
0.5000 0.5000 0.5000
0.6667 0.3333 0.0000
```

- DOS at the Fermi energy: 5.173 states/eV per cell
- Energy relative to the elements: 0.032 eV per atom

## SrIn2Au (GGA-PBEsol)

Data for a relaxed SrIn2Au crystal.

Cell and atoms, written as POSCAR:
```
SrIn2Au
1.0
3.5428 0.0000 0.0000
0.0000 3.5428 0.0000
0.0000 0.0000 7.8165
Sr In Au
1 2 1
Direct
0.0000 0.0000 0.0000
0.5000 0.5000 0.3009
0.5000 0.5000 0.6991
0.0000 0.0000 0.5000
```

- DOS at the Fermi energy: 1.588 states/eV per cell
- Energy relative to the elements: -0.356 eV per atom

## CdReSb2I (GGA-PBEsol)

Data for a relaxed CdReSb2I crystal.

Cell and atoms, written as POSCAR:
```
CdReSb2I
1.0
5.0405 0.0000 0.0000
0.0000 5.0405 0.0000
0.0000 0.0000 5.8686
Cd Re Sb I
1 1 2 1
Direct
0.0000 0.0000 0.0000
0.5000 0.5000 0.5000
0.0000 0.5000 0.5000
0.5000 0.0000 0.5000
0.5000 0.5000 0.0000
```

- DOS at the Fermi energy: 3.285 states/eV per cell
- Uncorrected formation energy: 0.637 eV/atom

## ScTlOs2 (GGA-PBEsol)

Data for a relaxed ScTlOs2 crystal.

Cell and atoms, written as POSCAR:
```
ScTlOs2
1.0
-2.0322 2.0322 4.0495
2.0322 -2.0322 4.0495
2.0322 2.0322 -4.0495
Sc Tl Os
1 1 2
Direct
0.0000 0.0000 0.0000
0.5000 0.5000 0.0000
0.2500 0.7500 0.5000
0.7500 0.2500 0.5000
```

- DOS at the Fermi energy: 6.021 states/eV per cell
- Energy relative to the elements: 0.412 eV per atom

## Li2CaTeCl (GGA-PBEsol)

Data for a relaxed Li2CaTeCl crystal.

Cell and atoms, written as POSCAR:
```
Li2CaTeCl
1.0
4.7804 0.0000 0.0000
0.0000 4.7804 0.0000
0.0000 0.0000 7.8342
Li Ca Te Cl
2 1 1 1
Direct
0.0000 0.5000 0.0000
0.5000 0.0000 0.0000
0.0000 0.0000 0.5000
0.5000 0.5000 0.0000
0.5000 0.5000 0.5000
```

- DOS at the Fermi energy: 2.546 states/eV per cell
- Uncorrected formation energy: -0.617 eV/atom

## BaTc2Ir (GGA-PBEsol)

Data for a relaxed BaTc2Ir crystal.

Cell and atoms, written as POSCAR:
```
BaTc2Ir
1.0
4.2422 0.0000 0.0000
0.0000 4.2422 0.0000
0.0000 0.0000 3.9613
Ba Tc Ir
1 2 1
Direct
0.0000 0.0000 0.0000
0.0000 0.5000 0.5000
0.5000 0.0000 0.5000
0.5000 0.5000 0.0000
```

- Polymorph energy (0 for the lowest one): 102 meV/atom
- DOS at the Fermi energy: 6.905 states/eV per cell
- Energy relative to the elements: 1.415 eV per atom

## HfNbPd3 (GGA-PBEsol)

Data for a relaxed HfNbPd3 crystal.

Cell and atoms, written as POSCAR:
```
HfNbPd3
1.0
4.7017 0.0000 0.0000
0.0000 4.7017 0.0000
0.0000 0.0000 4.7017
Hf Nb Pd
1 1 3
Direct
0.0000 0.0000 0.0000
0.5000 0.5000 0.5000
0.0000 0.5000 0.5000
0.5000 0.0000 0.5000
0.5000 0.5000 0.0000
```

- DOS at the Fermi energy: 5.057 states/eV per cell
- Energy relative to the elements: 0.846 eV per atom

## Mn3W (GGA-PBEsol)

Data for a relaxed Mn3W crystal.

Cell and atoms, written as POSCAR:
```
Mn3W
1.0
2.6385 0.0000 0.0000
0.0000 3.3865 0.0000
0.0000 0.0000 5.2888
Mn W
3 1
Direct
0.0000 0.0000 0.0000
0.5000 0.5000 0.2173
0.5000 0.5000 0.7827
0.0000 0.0000 0.5000
```

- DOS at the Fermi energy: 5.523 states/eV per cell
- Energy relative to the elements: 0.207 eV per atom